Record 1
This record from the Alexandria database describes a geometry-optimized Mn3NiAg structure. The functional is PBEsol.

abc: 4.4325 4.4325 4.4325
angles: 90.00 90.00 90.00
With the nearest neighbours (Å) after each atom.
Sites, in units of the cell vectors:
Mn (0.0000, 0.0000, 0.5000)  2 Ni 2.22
Mn (0.0000, 0.5000, 0.0000)  2 Ni 2.22
Mn (0.5000, 0.0000, 0.0000)  2 Ni 2.22
Ni (0.0000, 0.0000, 0.0000)  6 Mn 2.22
Ag (0.5000, 0.5000, 0.5000)  12 Mn 3.13

Values from the calculation:
Density of states at the Fermi level: 0.728 states/eV/atom
SG: Pm-3m
V: 17.4 A^3/atom
Energy relative to the elements: 989 meV per atom

Record 2
This record from the Alexandria database describes a geometry-optimized YMoCl2 structure. The functional is PBEsol.

abc: 8.6847 8.6847 8.6847
angles: 20.75 20.75 20.75
With the nearest neighbours (Å) after each atom.
Sites, in units of the cell vectors:
Y (0.0000, 0.0000, 0.0000)  6 Cl 2.82, 6 Y 3.13
Mo (0.5000, 0.5000, 0.5000)  6 Cl 2.76
Cl (0.2486, 0.2486, 0.2486)  3 Mo 2.76, 3 Y 2.82
Cl (0.7514, 0.7514, 0.7514)  3 Mo 2.76, 3 Y 2.82

Values from the calculation:
Relative energy among the computed polymorphs: 0.478 eV per atom
Density of states at the Fermi level: 1.136 states/eV/atom
SG: R-3m
V: 18.0 A^3/atom
Uncorrected formation energy: -0.151 eV per atom

Record 3
This record from the Alexandria database describes a geometry-optimized YNi2F2 structure. The functional is PBEsol.

abc: 7.8250 7.8250 7.8250
angles: 157.23 157.23 32.42
With the nearest neighbours (Å) after each atom.
Sites, in units of the cell vectors:
Y (0.0000, 0.0000, 0.0000)  8 F 2.45
Ni (0.2500, 0.7500, 0.5000)  4 Ni 2.18
Ni (0.7500, 0.2500, 0.5000)  4 Ni 2.18
F (0.4264, 0.4264, 0.0000)  1 F 2.21, 4 Y 2.45
F (0.5736, 0.5736, 0.0000)  1 F 2.21, 4 Y 2.45

Values from the calculation:
Density of states at the Fermi level: 0.949 states/eV/atom
SG: I4/mmm
V: 14.3 A^3/atom
Uncorrected formation energy: -1.232 eV per atom

Record 4
This record from the Alexandria database describes a geometry-optimized Tb6Mn23 structure. The functional is PBEsol.

abc: 8.3056 8.3056 8.3056
angles: 60.00 60.00 60.00
With the nearest neighbours (Å) after each atom.
Sites, in units of the cell vectors:
Tb (0.2049, 0.2049, 0.7951)  12 Mn 2.87-2.98
Tb (0.2049, 0.7951, 0.2049)  12 Mn 2.87-2.98
Tb (0.2049, 0.7951, 0.7951)  12 Mn 2.87-2.98
Tb (0.7951, 0.2049, 0.2049)  12 Mn 2.87-2.98
Tb (0.7951, 0.2049, 0.7951)  12 Mn 2.87-2.98
Tb (0.7951, 0.7951, 0.2049)  12 Mn 2.87-2.98
Mn (0.0000, 0.0000, 0.5000)  8 Mn 2.41-2.56
Mn (0.0000, 0.5000, 0.0000)  8 Mn 2.41-2.56
Mn (0.0000, 0.5000, 0.5000)  8 Mn 2.41-2.56
Mn (0.1337, 0.6221, 0.6221)  7 Mn 2.48-2.56
Mn (0.1776, 0.1776, 0.1776)  9 Mn 2.41-2.53
Mn (0.1776, 0.1776, 0.4673)  9 Mn 2.41-2.53
Mn (0.1776, 0.4673, 0.1776)  9 Mn 2.41-2.53
Mn (0.3779, 0.3779, 0.3779)  7 Mn 2.48-2.56
Mn (0.3779, 0.3779, 0.8663)  7 Mn 2.48-2.56
Mn (0.3779, 0.8663, 0.3779)  7 Mn 2.48-2.56
Mn (0.4673, 0.1776, 0.1776)  9 Mn 2.41-2.53
Mn (0.5000, 0.0000, 0.0000)  8 Mn 2.41-2.56
Mn (0.5000, 0.0000, 0.5000)  8 Mn 2.41-2.56
Mn (0.5000, 0.5000, 0.0000)  8 Mn 2.41-2.56
Mn (0.5000, 0.5000, 0.5000)  8 Mn 2.48
Mn (0.5327, 0.8224, 0.8224)  9 Mn 2.41-2.53
Mn (0.6221, 0.1337, 0.6221)  7 Mn 2.48-2.56
Mn (0.6221, 0.6221, 0.1337)  7 Mn 2.48-2.56
Mn (0.6221, 0.6221, 0.6221)  7 Mn 2.48-2.56
Mn (0.8224, 0.5327, 0.8224)  9 Mn 2.41-2.53
Mn (0.8224, 0.8224, 0.5327)  9 Mn 2.41-2.53
Mn (0.8224, 0.8224, 0.8224)  9 Mn 2.41-2.53
Mn (0.8663, 0.3779, 0.3779)  7 Mn 2.48-2.56

Values from the calculation:
Density of states at the Fermi level: 1.053 states/eV/atom
SG: Fm-3m
V: 14.0 A^3/atom
Energy relative to the elements: 104 meV per atom

Record 5
This record from the Alexandria database describes a geometry-optimized Cu3Ag structure. The functional is PBEsol.

abc: 4.5097 4.5097 2.6402
angles: 90.00 90.00 108.56
With the nearest neighbours (Å) after each atom.
Sites, in units of the cell vectors:
Cu (0.0000, 0.0000, 0.0000)  10 Cu 2.61-2.64, 2 Ag 2.63
Cu (0.0000, 0.5000, 0.5000)  8 Cu 2.61-2.64, 4 Ag 2.61
Cu (0.5000, 0.0000, 0.5000)  8 Cu 2.61-2.64, 4 Ag 2.61
Ag (0.5000, 0.5000, 0.0000)  10 Cu 2.61-2.63, 2 Ag 2.64

Values from the calculation:
Density of states at the Fermi level: 0.300 states/eV/atom
SG: Cmmm
V: 12.7 A^3/atom
Energy relative to the elements: 101 meV per atom

Record 6
This record from the Alexandria database describes a geometry-optimized KGaBr4 structure. The functional is PBEsol.

abc: 13.0265 13.0265 13.0265
angles: 115.14 115.14 115.14
With the nearest neighbours (Å) after each atom.
Sites, in units of the cell vectors:
K (0.0099, 0.1978, 0.7923)  7 Br 3.28-3.56
K (0.1978, 0.7923, 0.0099)  7 Br 3.28-3.56
K (0.2923, 0.6978, 0.5099)  7 Br 3.28-3.56
K (0.5099, 0.2923, 0.6978)  7 Br 3.28-3.56
K (0.6978, 0.5099, 0.2923)  7 Br 3.28-3.56
K (0.7923, 0.0099, 0.1978)  7 Br 3.28-3.56
Ga (0.0197, 0.8078, 0.2063)  4 Br 2.34-2.35
Ga (0.2063, 0.0197, 0.8078)  4 Br 2.34-2.35
Ga (0.3078, 0.5197, 0.7063)  4 Br 2.34-2.35
Ga (0.5197, 0.7063, 0.3078)  4 Br 2.34-2.35
Ga (0.7063, 0.3078, 0.5197)  4 Br 2.34-2.35
Ga (0.8078, 0.2063, 0.0197)  4 Br 2.34-2.35
Br (0.0339, 0.4076, 0.0901)  1 Ga 2.34
Br (0.0590, 0.3114, 0.6060)  1 Ga 2.34
Br (0.0901, 0.0339, 0.4076)  1 Ga 2.34
Br (0.1060, 0.8114, 0.5590)  1 Ga 2.34
Br (0.2624, 0.8736, 0.3347)  1 Ga 2.35
Br (0.2678, 0.4213, 0.4811)  1 Ga 2.34
Br (0.3114, 0.6060, 0.0590)  1 Ga 2.34
Br (0.3347, 0.2624, 0.8736)  1 Ga 2.35
Br (0.3736, 0.7624, 0.8347)  1 Ga 2.35
Br (0.4076, 0.0901, 0.0339)  1 Ga 2.34
Br (0.4213, 0.4811, 0.2678)  1 Ga 2.34
Br (0.4811, 0.2678, 0.4213)  1 Ga 2.34
Br (0.5339, 0.5901, 0.9076)  1 Ga 2.34
Br (0.5590, 0.1060, 0.8114)  1 Ga 2.34
Br (0.5901, 0.9076, 0.5339)  1 Ga 2.34
Br (0.6060, 0.0590, 0.3114)  1 Ga 2.34
Br (0.7624, 0.8347, 0.3736)  1 Ga 2.35
Br (0.7678, 0.9811, 0.9213)  1 Ga 2.34
Br (0.8114, 0.5590, 0.1060)  1 Ga 2.34
Br (0.8347, 0.3736, 0.7624)  1 Ga 2.35
Br (0.8736, 0.3347, 0.2624)  1 Ga 2.35
Br (0.9076, 0.5339, 0.5901)  1 Ga 2.34
Br (0.9213, 0.7678, 0.9811)  1 Ga 2.34
Br (0.9811, 0.9213, 0.7678)  1 Ga 2.34

Values from the calculation:
Density of states at the Fermi level: 0.000 states/eV/atom
SG: R3c
V: 33.9 A^3/atom
Uncorrected formation energy: -1.165 eV per atom

Record 7
This record from the Alexandria database describes a geometry-optimized CaP2H6O9 structure. The functional is PBEsol.

abc: 5.5734 6.2033 11.8198
angles: 92.92 95.76 114.26
With the nearest neighbours (Å) after each atom.
Sites, in units of the cell vectors:
Ca (0.0344, 0.2739, 0.1039)  6 O 2.29-2.53
Ca (0.9656, 0.7261, 0.8961)  6 O 2.29-2.53
P (0.2754, 0.1097, 0.3756)  4 O 1.51-1.58
P (0.4711, 0.2261, 0.9023)  4 O 1.51-1.59
P (0.5289, 0.7739, 0.0977)  4 O 1.51-1.59
P (0.7246, 0.8903, 0.6244)  4 O 1.51-1.58
H (0.0334, 0.6339, 0.3120)  1 O 1.00
H (0.0438, 0.2086, 0.4976)  1 O 1.03
H (0.1892, 0.6242, 0.6897)  1 O 1.00
H (0.3119, 0.4404, 0.7907)  1 O 1.04
H (0.3306, 0.8051, 0.5180)  1 O 1.03
H (0.4286, 0.0410, 0.1963)  1 O 1.04
H (0.5714, 0.9590, 0.8037)  1 O 1.04
H (0.6694, 0.1949, 0.4820)  1 O 1.03
H (0.6881, 0.5596, 0.2093)  1 O 1.04
H (0.8108, 0.3758, 0.3103)  1 O 1.00
H (0.9562, 0.7914, 0.5024)  1 O 1.03
H (0.9666, 0.3661, 0.6880)  1 O 1.00
O (0.0897, 0.5072, 0.7419)  2 H 1.00
O (0.1622, 0.2716, 0.4347)  1 H 1.03
O (0.1681, 0.8627, 0.4217)  2 H 1.53, 1 P 1.55
O (0.2198, 0.0982, 0.2469)  1 P 1.51, 1 H 1.52
O (0.2357, 0.1591, 0.9679)  1 P 1.51
O (0.2502, 0.6681, 0.0339)  1 P 1.51
O (0.4107, 0.9836, 0.8289)  1 H 1.04
O (0.4124, 0.7701, 0.5931)  1 H 1.03
O (0.4829, 0.4192, 0.8177)  1 H 1.04
O (0.5171, 0.5808, 0.1823)  1 H 1.04
O (0.5876, 0.2299, 0.4069)  1 H 1.03
O (0.5893, 0.0164, 0.1711)  1 H 1.04
O (0.7498, 0.3319, 0.9661)  1 P 1.51
O (0.7643, 0.8409, 0.0321)  1 P 1.51
O (0.7802, 0.9018, 0.7531)  1 P 1.51, 1 H 1.52
O (0.8319, 0.1373, 0.5783)  2 H 1.53, 1 P 1.55
O (0.8378, 0.7284, 0.5653)  1 H 1.03
O (0.9103, 0.4928, 0.2581)  2 H 1.00

Values from the calculation:
Density of states at the Fermi level: 0.000 states/eV/atom
SG: P-1
V: 10.2 A^3/atom
VASP energy: -6.322 eV/atom

Record 8
This record from the Alexandria database describes a geometry-optimized GeSb2TeW structure. The functional is PBEsol.

abc: 5.1933 5.1933 5.2244
angles: 90.00 90.00 90.00
With the nearest neighbours (Å) after each atom.
Sites, in units of the cell vectors:
Ge (0.0000, 0.0000, 0.0000)  4 Te 3.67, 8 Sb 3.68
Sb (0.0000, 0.5000, 0.5000)  2 W 2.60
Sb (0.5000, 0.0000, 0.5000)  2 W 2.60
Te (0.5000, 0.5000, 0.0000)  2 W 2.61
W (0.5000, 0.5000, 0.5000)  4 Sb 2.60, 2 Te 2.61

Values from the calculation:
Density of states at the Fermi level: 0.970 states/eV/atom
SG: P4/mmm
V: 28.2 A^3/atom
Uncorrected formation energy: 0.865 eV per atom

Record 9
This record from the Alexandria database describes a geometry-optimized TbErRh2 structure. The functional is PBEsol.

abc: 4.7543 4.7543 4.7543
angles: 60.00 60.00 60.00
With the nearest neighbours (Å) after each atom.
Sites, in units of the cell vectors:
Tb (0.0000, 0.0000, 0.0000)  8 Rh 2.91
Er (0.5000, 0.5000, 0.5000)  8 Rh 2.91
Rh (0.2500, 0.2500, 0.2500)  4 Er 2.91, 4 Tb 2.91
Rh (0.7500, 0.7500, 0.7500)  4 Tb 2.91, 4 Er 2.91

Values from the calculation:
Density of states at the Fermi level: 0.488 states/eV/atom
SG: Fm-3m
V: 19.0 A^3/atom
Energy relative to the elements: -847 meV per atom

Record 10
This record from the Alexandria database describes a geometry-optimized Na8SnO6 structure. The functional is PBEsol.

abc: 6.6825 6.6825 6.6825
angles: 56.10 56.10 56.10
With the nearest neighbours (Å) after each atom.
Sites, in units of the cell vectors:
Na (0.0003, 0.4076, 0.7466)  4 O 2.23-2.45
Na (0.9997, 0.5923, 0.2534)  4 O 2.23-2.45
Na (0.1588, 0.1588, 0.1588)  6 O 2.45-2.69
Na (0.2534, 0.9997, 0.5924)  4 O 2.23-2.45
Na (0.4076, 0.7466, 0.0003)  4 O 2.23-2.45
Na (0.5924, 0.2534, 0.9997)  4 O 2.23-2.45
Na (0.7466, 0.0003, 0.4076)  4 O 2.23-2.45
Na (0.8412, 0.8412, 0.8412)  6 O 2.45-2.69
Sn (0.5000, 0.5000, 0.5000)  6 O 2.17
O (0.1492, 0.7202, 0.4131)  1 Sn 2.17, 3 Na 2.23-2.27
O (0.2798, 0.5869, 0.8508)  1 Sn 2.17, 3 Na 2.23-2.27
O (0.4131, 0.1492, 0.7202)  1 Sn 2.17, 3 Na 2.23-2.27
O (0.5869, 0.8508, 0.2798)  1 Sn 2.17, 3 Na 2.23-2.27
O (0.7202, 0.4131, 0.1492)  1 Sn 2.17, 3 Na 2.23-2.27
O (0.8508, 0.2798, 0.5869)  1 Sn 2.17, 3 Na 2.23-2.27

Values from the calculation:
Relative energy among the computed polymorphs: 0.030 eV per atom
Density of states at the Fermi level: 0.000 states/eV/atom
SG: R-3
V: 12.8 A^3/atom
Uncorrected formation energy: -1.373 eV per atom

Record 11
This record from the Alexandria database describes a geometry-optimized ScCd4Pt structure. The functional is PBEsol.

abc: 5.4715 5.4715 5.4715
angles: 60.00 60.00 60.00
With the nearest neighbours (Å) after each atom.
Sites, in units of the cell vectors:
Sc (0.0000, 0.0000, 0.0000)  12 Cd 3.21, 4 Pt 3.35
Cd (0.1258, 0.6247, 0.6247)  6 Cd 2.73-2.74
Cd (0.6247, 0.1258, 0.6247)  6 Cd 2.73-2.74
Cd (0.6247, 0.6247, 0.1258)  6 Cd 2.73-2.74
Cd (0.6247, 0.6247, 0.6247)  6 Cd 2.73-2.74
Pt (0.2500, 0.2500, 0.2500)  12 Cd 3.21, 4 Sc 3.35

Values from the calculation:
Density of states at the Fermi level: 0.940 states/eV/atom
SG: F-43m
V: 19.3 A^3/atom
Energy relative to the elements: -76 meV per atom

Record 12
This record from the Alexandria database describes a geometry-optimized MnTeP2 structure. The functional is PBEsol.

abc: 3.0542 3.0542 6.9299
angles: 90.00 90.00 90.00
With the nearest neighbours (Å) after each atom.
Sites, in units of the cell vectors:
Mn (0.0000, 0.0000, 0.0000)  5 P 2.36-2.47
Te (0.5000, 0.5000, 0.7547)  4 Mn 2.75, 1 P 2.90, 4 Te 3.05
P (0.0000, 0.0000, 0.3405)  1 Mn 2.36, 4 P 2.45
P (0.5000, 0.5000, 0.1735)  4 P 2.45, 4 Mn 2.47

Values from the calculation:
Density of states at the Fermi level: 0.590 states/eV/atom
SG: P4mm
V: 16.2 A^3/atom
Uncorrected formation energy: 0.111 eV per atom

Which formula does entry 1 have? Mn3NiAg